# PmGaSn2 (PBE-GGA, optimized geometry)
data_PmGaSn2
_space_group_name_H-M_alt 'P 1'
_space_group_IT_number 1
_cell_length_a 3.898
_cell_length_b 3.898
_cell_length_c 6.692
_cell_angle_alpha 90.00
_cell_angle_beta 90.00
_cell_angle_gamma 90.00
loop_
_space_group_symop_operation_xyz
'x,y,z'
loop_
_atom_site_label
_atom_site_fract_x
_atom_site_fract_y
_atom_site_fract_z
Ga1 0.500 0.500 0.000
Pm1 0.500 0.500 0.500
Sn1 0.000 0.000 0.218
Sn2 0.000 0.000 0.782
# Space group = No. 123
# Energy relative to the lowest polymorph listed for this composition = 56 kJ/mol of formula units


# Pm12GaSn6 (PBE-GGA, optimized geometry)
data_Pm12GaSn6
_space_group_name_H-M_alt 'P 1'
_space_group_IT_number 1
_cell_length_a 8.944
_cell_length_b 8.944
_cell_length_c 8.944
_cell_angle_alpha 99.80
_cell_angle_beta 99.80
_cell_angle_gamma 99.80
loop_
_space_group_symop_operation_xyz
'x,y,z'
loop_
_atom_site_label
_atom_site_fract_x
_atom_site_fract_y
_atom_site_fract_z
Pm1 0.323 0.057 0.961
Sn1 0.376 0.692 0.875
Pm2 0.576 0.437 0.810
Ga1 0.000 0.000 0.000
Pm3 0.810 0.576 0.437
Pm4 0.057 0.961 0.323
Pm5 0.190 0.424 0.563
Pm6 0.677 0.943 0.039
Sn2 0.308 0.125 0.624
Pm7 0.437 0.810 0.576
Pm8 0.943 0.039 0.677
Sn3 0.624 0.308 0.125
Sn4 0.125 0.624 0.308
Pm9 0.563 0.190 0.424
Sn5 0.692 0.875 0.376
Pm10 0.039 0.677 0.943
Pm11 0.424 0.563 0.190
Sn6 0.875 0.376 0.692
Pm12 0.961 0.323 0.057
# Space group = No. 148


# Pm4GaSn5 (PBE-GGA, optimized geometry)
data_Pm4GaSn5
_space_group_name_H-M_alt 'P 1'
_space_group_IT_number 1
_cell_length_a 5.231
_cell_length_b 11.952
_cell_length_c 9.302
_cell_angle_alpha 90.00
_cell_angle_beta 90.00
_cell_angle_gamma 90.00
loop_
_space_group_symop_operation_xyz
'x,y,z'
loop_
_atom_site_label
_atom_site_fract_x
_atom_site_fract_y
_atom_site_fract_z
Sn1 0.202 0.860 0.171
Pm1 0.716 0.000 0.700
Pm2 0.284 0.500 0.200
Sn2 0.798 0.360 0.671
Sn3 0.798 0.360 0.329
Sn4 0.202 0.860 0.829
Pm3 0.291 0.740 0.500
Sn5 0.798 0.640 0.671
Pm4 0.284 0.500 0.800
Sn6 0.782 0.500 0.000
Sn7 0.218 0.000 0.500
Pm5 0.291 0.260 0.500
Ga1 0.556 0.000 0.000
Pm6 0.716 0.000 0.300
Sn8 0.798 0.640 0.329
Pm7 0.709 0.760 0.000
Pm8 0.709 0.240 0.000
Ga2 0.444 0.500 0.500
Sn9 0.202 0.140 0.171
Sn10 0.202 0.140 0.829
# Space group = No. 59


# Pm3GaSn4 (PBE-GGA, optimized geometry)
data_Pm3GaSn4
_space_group_name_H-M_alt 'P 1'
_space_group_IT_number 1
_cell_length_a 6.407
_cell_length_b 6.522
_cell_length_c 10.332
_cell_angle_alpha 90.00
_cell_angle_beta 90.00
_cell_angle_gamma 90.00
loop_
_space_group_symop_operation_xyz
'x,y,z'
loop_
_atom_site_label
_atom_site_fract_x
_atom_site_fract_y
_atom_site_fract_z
Sn1 0.337 0.094 0.500
Sn2 0.576 0.672 0.726
Pm1 0.069 0.839 0.712
Ga1 0.750 0.926 0.500
Pm2 0.569 0.161 0.788
Pm3 0.324 0.605 0.000
Pm4 0.569 0.161 0.212
Sn3 0.576 0.672 0.274
Sn4 0.837 0.906 0.000
Sn5 0.076 0.328 0.226
Sn6 0.814 0.457 0.000
Pm5 0.824 0.395 0.500
Sn7 0.314 0.543 0.500
Pm6 0.069 0.839 0.288
Sn8 0.076 0.328 0.774
Ga2 0.250 0.074 0.000
# Space group = No. 31


So what do the calculations give for formation enthalpy at 0 K? Going down the list: -35.4; -37.6; -54.2; -59.7 kJ/mol of atoms.